A plane-wave DFT calculation with PBE-GGA was carried out for Tc2AsBr after structural relaxation.

- Total magnetization: 0.00 μB/f.u.
- Energy above the most stable polymorph in this dataset: 0.319 eV per atom
- DFT total energy: -25.30 eV/cell
- Energy relative to the elements, uncorrected: 0.44 eV/atom

```
data_Tc2AsBr
_space_group_name_H-M_alt 'P 4/m m m'
_space_group_IT_number 123
_space_group_name_Hall '-P 4 2'
_cell_length_a 3.129
_cell_length_b 3.129
_cell_length_c 6.502
_cell_angle_alpha 90.00
_cell_angle_beta 90.00
_cell_angle_gamma 90.00
loop_
_atom_site_label
_atom_site_type_symbol
_atom_site_fract_x
_atom_site_fract_y
_atom_site_fract_z
Tc1 Tc 0.000 0.000 0.215
As1 As 0.500 0.500 0.000
Br1 Br 0.500 0.500 0.500
```